Entry 1:
{"formula": "Ac4N2O3", "functional": "GGA-PBE", "state": "optimized geometry", "lattice_angstrom": [[-3.053, -2.329, -0.297], [0.486, -3.071, -5.877], [2.910, -7.335, 2.643]], "species": ["Ac", "Ac", "Ac", "Ac", "N", "N", "O", "O", "O"], "fractional_positions": [[0.746, 0.169, 0.340], [0.254, 0.831, 0.660], [0.418, 0.276, 0.887], [0.582, 0.724, 0.113], [0.643, 0.070, 0.643], [0.357, 0.930, 0.357], [0.000, 0.000, 0.000], [0.187, 0.459, 0.167], [0.813, 0.541, 0.833]], "spacegroup": "C2/m (12)", "energy_ev_per_cell": -68.08, "e_form_raw_mev_per_atom": -2236, "crystal_system": "monoclinic"}

=====

Entry 2:
{"formula": "Ac3NO3", "functional": "GGA-PBE", "state": "optimized geometry", "lattice_angstrom": [[-0.263, 4.661, 2.503], [-4.965, -1.083, 1.495], [1.827, -2.272, 4.423]], "species": ["Ac", "Ac", "Ac", "N", "O", "O", "O"], "fractional_positions": [[0.500, 0.000, 0.500], [0.500, 0.500, 0.000], [0.000, 0.500, 0.500], [0.500, 0.500, 0.500], [0.000, 0.500, 0.000], [0.000, 0.000, 0.500], [0.500, 0.000, 0.000]], "spacegroup": "Pm-3m (221)", "energy_ev_per_cell": -51.88, "e_form_raw_mev_per_atom": -2336, "crystal_system": "cubic"}

=====

Entry 3:
{"formula": "Ac2NO", "functional": "GGA-PBE", "state": "optimized geometry", "lattice_angstrom": [[3.768, 0.000, 0.000], [1.884, 3.263, 0.000], [1.884, 1.088, 6.640]], "species": ["Ac", "Ac", "N", "O"], "fractional_positions": [[0.078, 0.078, 0.765], [0.255, 0.255, 0.236], [0.669, 0.669, 0.993], [0.498, 0.498, 0.507]], "spacegroup": "R3m (160)", "energy_ev_per_cell": -28.62, "relative_energy_mev_per_atom": 137, "e_form_raw_mev_per_atom": -1781, "crystal_system": "trigonal"}

=====

Entry 4:
{"formula": "Ac5NO5", "functional": "GGA-PBE", "state": "optimized geometry", "lattice_angstrom": [[-1.356, -5.073, 0.596], [5.257, 0.887, -3.917], [2.490, 0.179, 7.191]], "species": ["Ac", "Ac", "Ac", "Ac", "Ac", "N", "O", "O", "O", "O", "O"], "fractional_positions": [[0.845, 0.689, 0.180], [0.836, 0.672, 0.666], [0.500, 0.000, 0.000], [0.164, 0.328, 0.334], [0.155, 0.311, 0.820], [0.000, 0.000, 0.000], [0.678, 0.357, 0.321], [0.684, 0.367, 0.862], [0.000, 0.000, 0.500], [0.316, 0.633, 0.138], [0.322, 0.643, 0.679]], "spacegroup": "C2/m (12)", "energy_ev_per_cell": -81.41, "e_form_raw_mev_per_atom": -2523, "crystal_system": "monoclinic"}

=====

Entry 5:
{"formula": "Ac3N2O", "functional": "GGA-PBE", "state": "optimized geometry", "lattice_angstrom": [[5.491, -0.009, 0.000], [0.012, 7.734, 0.000], [0.000, 0.000, 11.632]], "species": ["Ac", "Ac", "Ac", "Ac", "Ac", "Ac", "Ac", "Ac", "Ac", "Ac", "Ac", "Ac", "N", "N", "N", "N", "N", "N", "N", "N", "O", "O", "O", "O"], "fractional_positions": [[0.250, 0.629, 0.585], [0.250, 0.129, 0.915], [0.250, 0.622, 0.915], [0.250, 0.122, 0.585], [0.250, 0.625, 0.251], [0.250, 0.125, 0.249], [0.750, 0.875, 0.751], [0.750, 0.375, 0.749], [0.750, 0.878, 0.415], [0.750, 0.378, 0.085], [0.750, 0.871, 0.085], [0.750, 0.371, 0.415], [0.250, 0.873, 0.744], [0.250, 0.373, 0.756], [0.250, 0.866, 0.418], [0.250, 0.366, 0.082], [0.750, 0.634, 0.918], [0.750, 0.134, 0.582], [0.750, 0.627, 0.244], [0.750, 0.127, 0.256], [0.250, 0.877, 0.089], [0.250, 0.377, 0.411], [0.750, 0.623, 0.589], [0.750, 0.123, 0.911]], "spacegroup": "Pnma (62)", "energy_ev_per_cell": -175.18, "e_form_raw_mev_per_atom": -1643, "crystal_system": "orthorhombic"}

=====

Entry 6:
{"formula": "Ac2NO", "functional": "GGA-PBE", "state": "optimized geometry", "lattice_angstrom": [[-3.620, -1.025, 0.388], [1.855, -5.338, 3.204], [-0.324, 3.283, 5.656]], "species": ["Ac", "Ac", "Ac", "Ac", "N", "N", "O", "O"], "fractional_positions": [[0.000, 0.257, 0.334], [0.000, 0.743, 0.666], [0.500, 0.243, 0.834], [0.500, 0.757, 0.166], [0.500, 0.500, 0.500], [0.000, 0.000, 0.000], [0.000, 0.500, 0.000], [0.500, 0.000, 0.500]], "spacegroup": "Pnnm (58)", "energy_ev_per_cell": -57.69, "relative_energy_mev_per_atom": 81, "e_form_raw_mev_per_atom": -1836, "crystal_system": "orthorhombic"}

=====

Entry 7:
{"formula": "Ac4NO2", "functional": "GGA-PBE", "state": "optimized geometry", "lattice_angstrom": [[5.228, 0.000, 0.000], [0.000, 5.228, 0.000], [-2.614, -2.614, 6.768]], "species": ["Ac", "Ac", "Ac", "Ac", "O", "O", "N"], "fractional_positions": [[0.759, 0.759, 0.518], [0.241, 0.241, 0.482], [0.000, 0.500, 0.000], [0.500, 0.000, 0.000], [0.594, 0.594, 0.188], [0.406, 0.406, 0.812], [0.000, 0.000, 0.000]], "spacegroup": "I4/mmm (139)", "energy_ev_per_cell": -45.33, "e_form_raw_mev_per_atom": -1522, "crystal_system": "tetragonal"}

=====

Entry 8:
{"formula": "Ac6N5O", "functional": "GGA-PBE", "state": "optimized geometry", "lattice_angstrom": [[-6.547, -0.301, -1.622], [-2.556, -5.903, 2.035], [-2.665, -0.573, 6.175]], "species": ["Ac", "Ac", "Ac", "Ac", "Ac", "Ac", "O", "N", "N", "N", "N", "N"], "fractional_positions": [[0.749, 0.083, 0.337], [0.251, 0.580, 0.337], [0.253, 0.254, 0.000], [0.747, 0.746, 0.000], [0.749, 0.420, 0.663], [0.251, 0.917, 0.663], [0.000, 0.000, 0.000], [0.500, 0.171, 0.658], [0.000, 0.335, 0.329], [0.500, 0.500, 0.000], [0.000, 0.665, 0.671], [0.500, 0.829, 0.342]], "spacegroup": "C2/m (12)", "energy_ev_per_cell": -87.76, "e_form_raw_mev_per_atom": -1377, "crystal_system": "monoclinic"}

=====

Entry 9:
{"formula": "Ac2NO", "functional": "GGA-PBE", "state": "optimized geometry", "lattice_angstrom": [[3.849, 0.000, 0.000], [1.924, 3.333, 0.000], [1.924, 1.111, 6.311]], "species": ["Ac", "Ac", "O", "N"], "fractional_positions": [[0.752, 0.752, 0.744], [0.248, 0.248, 0.256], [0.000, 0.000, 0.000], [0.500, 0.500, 0.500]], "spacegroup": "R-3m (166)", "energy_ev_per_cell": -29.17, "relative_energy_mev_per_atom": 0, "e_form_raw_mev_per_atom": -1917, "crystal_system": "trigonal"}

=====

Entry 10:
{"formula": "AcN4O12", "functional": "GGA-PBE", "state": "optimized geometry", "lattice_angstrom": [[-0.947, -6.055, -0.079], [0.529, 1.909, 5.800], [-4.732, 2.843, -2.663]], "species": ["Ac", "N", "N", "N", "N", "O", "O", "O", "O", "O", "O", "O", "O", "O", "O", "O", "O"], "fractional_positions": [[0.000, 0.000, 0.000], [0.000, 0.500, 0.000], [0.500, 0.000, 0.000], [0.500, 0.500, 0.500], [0.000, 0.000, 0.500], [0.786, 0.298, 0.084], [0.298, 0.512, 0.214], [0.916, 0.214, 0.702], [0.298, 0.084, 0.786], [0.084, 0.786, 0.298], [0.702, 0.488, 0.786], [0.512, 0.214, 0.298], [0.488, 0.786, 0.702], [0.702, 0.916, 0.214], [0.786, 0.702, 0.488], [0.214, 0.298, 0.512], [0.214, 0.702, 0.916]], "spacegroup": "Im-3 (204)", "energy_ev_per_cell": -74.64, "e_form_raw_mev_per_atom": 1310, "crystal_system": "cubic"}

=====

Entry 11:
{"formula": "Ac2PaN2O2", "functional": "GGA-PBE", "state": "optimized geometry", "lattice_angstrom": [[-0.296, 2.328, 3.668], [-3.439, -2.373, 1.228], [6.112, -4.475, 0.749]], "species": ["Ac", "Ac", "Pa", "N", "N", "O", "O"], "fractional_positions": [[0.338, 0.338, 0.676], [0.662, 0.662, 0.324], [0.000, 0.000, 0.000], [0.163, 0.163, 0.326], [0.837, 0.837, 0.674], [0.000, 0.500, 0.000], [0.500, 0.000, 0.000]], "spacegroup": "I4/mmm (139)", "energy_ev_per_cell": -59.14, "e_form_raw_mev_per_atom": -2123, "crystal_system": "tetragonal"}

=====

Entry 12:
{"formula": "Ac4Pb2N2O", "functional": "GGA-PBE", "state": "optimized geometry", "lattice_angstrom": [[4.019, 0.000, 0.000], [0.000, 8.515, 0.748], [-2.009, -2.659, 7.260]], "species": ["Ac", "Ac", "Ac", "Ac", "Pb", "Pb", "N", "N", "O"], "fractional_positions": [[0.212, 0.160, 0.425], [0.788, 0.840, 0.575], [0.525, 0.814, 0.049], [0.475, 0.186, 0.951], [0.108, 0.523, 0.217], [0.892, 0.477, 0.783], [0.669, 0.996, 0.338], [0.331, 0.004, 0.662], [0.000, 0.000, 0.000]], "spacegroup": "C2/m (12)", "energy_ev_per_cell": -57.04, "e_form_raw_mev_per_atom": -1287, "crystal_system": "monoclinic"}

=====

Entry 13:
{"formula": "Ac4Pb2NO2", "functional": "GGA-PBE", "state": "optimized geometry", "lattice_angstrom": [[-2.522, -2.997, -1.414], [2.702, -5.083, 5.956], [-4.700, 5.244, 3.397]], "species": ["Ac", "Ac", "Ac", "Ac", "Pb", "Pb", "N", "O", "O"], "fractional_positions": [[0.202, 0.160, 0.405], [0.798, 0.840, 0.595], [0.520, 0.797, 0.040], [0.480, 0.203, 0.960], [0.119, 0.535, 0.237], [0.881, 0.465, 0.763], [0.000, 0.000, 0.000], [0.676, 0.000, 0.352], [0.324, 0.000, 0.648]], "spacegroup": "C2/m (12)", "energy_ev_per_cell": -57.35, "e_form_raw_mev_per_atom": -1695, "crystal_system": "monoclinic"}

=====

Entry 14:
{"formula": "Ac2PuN2O2", "functional": "GGA-PBE", "state": "optimized geometry", "lattice_angstrom": [[4.370, 0.000, 0.000], [0.000, 4.370, 0.000], [-2.185, -2.185, 6.600]], "species": ["Ac", "Ac", "Pu", "N", "N", "O", "O"], "fractional_positions": [[0.361, 0.361, 0.722], [0.639, 0.639, 0.278], [0.000, 0.000, 0.000], [0.000, 0.500, 0.000], [0.500, 0.000, 0.000], [0.181, 0.181, 0.362], [0.819, 0.819, 0.638]], "spacegroup": "I4/mmm (139)", "energy_ev_per_cell": -63.41, "e_form_raw_mev_per_atom": -2041, "crystal_system": "tetragonal"}

=====

Entry 15:
{"formula": "Ac2PuN3O", "functional": "GGA-PBE", "state": "optimized geometry", "lattice_angstrom": [[-2.680, 1.453, -3.085], [-1.639, -3.913, -0.419], [-2.421, 2.651, 6.400]], "species": ["Ac", "Ac", "Pu", "N", "N", "N", "O"], "fractional_positions": [[0.648, 0.648, 0.296], [0.352, 0.352, 0.704], [0.000, 0.000, 0.000], [0.000, 0.500, 0.000], [0.167, 0.167, 0.333], [0.833, 0.833, 0.667], [0.500, 0.000, 0.000]], "spacegroup": "Immm (71)", "energy_ev_per_cell": -63.44, "e_form_raw_mev_per_atom": -1565, "crystal_system": "orthorhombic"}

=====

Entry 16:
{"formula": "Ac2ReN2O4", "functional": "GGA-PBE", "state": "optimized geometry", "lattice_angstrom": [[-4.428, 0.837, 0.574], [-1.219, -4.836, -2.469], [-0.453, -4.599, 3.100]], "species": ["Ac", "Ac", "Re", "N", "N", "O", "O", "O", "O"], "fractional_positions": [[0.224, 0.665, 0.665], [0.776, 0.335, 0.335], [0.500, 0.000, 0.000], [0.262, 0.161, 0.161], [0.738, 0.839, 0.839], [0.263, 0.661, 0.169], [0.737, 0.831, 0.339], [0.737, 0.339, 0.831], [0.263, 0.169, 0.661]], "spacegroup": "C2/m (12)", "energy_ev_per_cell": -72.62, "e_form_raw_mev_per_atom": -1719, "crystal_system": "monoclinic"}

=====

Entry 17:
{"formula": "Ac4SbN2O", "functional": "GGA-PBE", "state": "optimized geometry", "lattice_angstrom": [[6.295, 0.000, 0.000], [3.148, 6.562, 1.764], [3.148, 2.295, 6.395]], "species": ["Ac", "Ac", "Ac", "Ac", "Sb", "N", "N", "O"], "fractional_positions": [[0.441, 0.141, 0.559], [0.141, 0.859, 0.441], [0.859, 0.559, 0.141], [0.559, 0.441, 0.859], [0.000, 0.000, 0.000], [0.250, 0.250, 0.250], [0.750, 0.750, 0.750], [0.500, 0.500, 0.500]], "spacegroup": "I-42m (121)", "energy_ev_per_cell": -52.68, "e_form_raw_mev_per_atom": -1314, "crystal_system": "tetragonal"}

=====

Entry 18:
{"formula": "Ac4Sb2NO2", "functional": "GGA-PBE", "state": "optimized geometry", "lattice_angstrom": [[4.099, 0.000, 0.000], [0.000, 7.822, 0.334], [-2.050, -2.780, 7.326]], "species": ["Ac", "Ac", "Ac", "Ac", "Sb", "Sb", "N", "O", "O"], "fractional_positions": [[0.205, 0.170, 0.409], [0.795, 0.830, 0.591], [0.521, 0.783, 0.042], [0.479, 0.217, 0.958], [0.131, 0.542, 0.262], [0.869, 0.458, 0.738], [0.000, 0.000, 0.000], [0.674, 0.994, 0.349], [0.326, 0.006, 0.651]], "spacegroup": "C2/m (12)", "energy_ev_per_cell": -60.09, "e_form_raw_mev_per_atom": -1908, "crystal_system": "monoclinic"}

=====

Entry 19:
{"formula": "Ac2ScN2O2", "functional": "GGA-PBE", "state": "optimized geometry", "lattice_angstrom": [[-2.083, 3.564, 0.477], [-2.721, -1.202, -2.901], [-1.341, -3.995, 5.888]], "species": ["Ac", "Ac", "Sc", "N", "N", "O", "O"], "fractional_positions": [[0.360, 0.360, 0.721], [0.640, 0.640, 0.279], [0.000, 0.000, 0.000], [0.000, 0.500, 0.000], [0.500, 0.000, 0.000], [0.174, 0.174, 0.348], [0.826, 0.826, 0.652]], "spacegroup": "I4/mmm (139)", "energy_ev_per_cell": -55.78, "e_form_raw_mev_per_atom": -2095, "crystal_system": "tetragonal"}

=====

Entry 20:
{"formula": "Ac2ScNO3", "functional": "GGA-PBE", "state": "optimized geometry", "lattice_angstrom": [[-0.040, 3.048, -2.979], [-2.327, -2.372, -2.396], [-4.143, 2.196, 5.352]], "species": ["Ac", "Ac", "Sc", "N", "O", "O", "O"], "fractional_positions": [[0.637, 0.637, 0.274], [0.363, 0.363, 0.726], [0.000, 0.000, 0.000], [0.500, 0.000, 0.000], [0.000, 0.500, 0.000], [0.174, 0.174, 0.348], [0.826, 0.826, 0.652]], "spacegroup": "Immm (71)", "energy_ev_per_cell": -57.22, "e_form_raw_mev_per_atom": -2781, "crystal_system": "orthorhombic"}

=====

Entry 21:
{"formula": "Ac3Sc2N4O2", "functional": "GGA-PBE", "state": "optimized geometry", "lattice_angstrom": [[4.251, 0.000, 0.000], [0.000, 4.251, 0.000], [-2.125, -2.125, 10.262]], "species": ["Ac", "Ac", "Ac", "Sc", "Sc", "N", "N", "N", "N", "O", "O"], "fractional_positions": [[0.000, 0.000, 0.000], [0.176, 0.176, 0.352], [0.824, 0.824, 0.648], [0.398, 0.398, 0.796], [0.602, 0.602, 0.204], [0.412, 0.912, 0.825], [0.912, 0.412, 0.825], [0.088, 0.588, 0.175], [0.588, 0.088, 0.175], [0.297, 0.297, 0.594], [0.703, 0.703, 0.406]], "spacegroup": "I4/mmm (139)", "energy_ev_per_cell": -88.18, "e_form_raw_mev_per_atom": -1815, "crystal_system": "tetragonal"}

=====

Entry 22:
{"formula": "SrAcNO", "functional": "GGA-PBE", "state": "optimized geometry", "lattice_angstrom": [[3.837, 0.000, 0.000], [1.919, 3.323, 0.000], [1.919, 1.108, 6.195]], "species": ["Sr", "Ac", "N", "O"], "fractional_positions": [[0.498, 0.498, 0.505], [0.994, 0.994, 0.017], [0.257, 0.257, 0.228], [0.750, 0.750, 0.750]], "spacegroup": "R3m (160)", "energy_ev_per_cell": -26.57, "e_form_raw_mev_per_atom": -1875, "crystal_system": "trigonal"}

=====

Entry 23:
{"formula": "Ac3Ta2N3O4", "functional": "GGA-PBE", "state": "optimized geometry", "lattice_angstrom": [[4.070, 0.000, 0.000], [0.000, 4.149, 0.000], [-2.035, -2.074, 10.729]], "species": ["Ac", "Ac", "Ac", "Ta", "Ta", "N", "N", "N", "O", "O", "O", "O"], "fractional_positions": [[0.502, 0.500, 0.000], [0.320, 0.317, 0.635], [0.685, 0.683, 0.365], [0.096, 0.094, 0.188], [0.908, 0.906, 0.812], [0.002, 0.000, 0.000], [0.103, 0.600, 0.201], [0.902, 0.400, 0.799], [0.402, 0.900, 0.799], [0.205, 0.202, 0.404], [0.801, 0.798, 0.596], [0.603, 0.100, 0.201]], "spacegroup": "Immm (71)", "energy_ev_per_cell": -107.99, "e_form_raw_mev_per_atom": -2263, "crystal_system": "orthorhombic"}